Version A
# ThPaSe2

Crystalline ThPaSe2 at its relaxed geometry (PBE, Alexandria via LeMat-Bulk).

a = 3.8643 Å, b = 3.8643 Å, c = 23.4885 Å
α = 90.00°, β = 90.00°, γ = 120.00°
Last column: nearest neighbours and their distance in Å.
Space group R3m (No. 160, hexagonal axes)
Inequivalent atoms, fractional coordinates:
Th1 0.0000 0.0000 0.0000 [3 per cell]  6 Se 2.97-3.03
Pa1 0.0000 0.0000 0.1710 [3 per cell]  6 Se 2.90-2.97
Se1 0.0000 0.0000 0.4209 [3 per cell]  3 Pa 2.97, 3 Th 3.03
Se2 0.0000 0.0000 0.5830 [3 per cell]  3 Pa 2.90, 3 Th 2.97

Results
crystal system: trigonal
total moment: 0.522 μB per formula unit

---

Version B
# ThPaSe2

Crystalline ThPaSe2 at its relaxed geometry (PBE, Alexandria via LeMat-Bulk).

a = 7.1979 Å, b = 7.1979 Å, c = 7.1979 Å
α = 90.00°, β = 90.00°, γ = 90.00°
Last column: nearest neighbours and their distance in Å.
Space group Fm-3m (No. 225)
Inequivalent atoms, fractional coordinates:
Th1 0.0000 0.0000 0.0000 [4 per cell]  8 Se 3.12
Pa1 0.0000 0.0000 0.5000 [4 per cell]  8 Se 3.12
Se1 0.2500 0.2500 0.2500 [8 per cell]  4 Th 3.12, 4 Pa 3.12

Results
crystal system: cubic
total moment: 0.807 μB per formula unit

---

Version C
# ThPaSe2

Crystalline ThPaSe2 at its relaxed geometry (PBE, Alexandria via LeMat-Bulk).

a = 3.6000 Å, b = 3.6000 Å, c = 7.2075 Å
α = 90.00°, β = 90.00°, γ = 90.00°
Last column: nearest neighbours and their distance in Å.
Space group P4/mmm (No. 123)
Inequivalent atoms, fractional coordinates:
Th1 0.0000 0.0000 0.0000 [1 per cell]  8 Se 3.15
Pa1 0.0000 0.0000 0.5000 [1 per cell]  8 Se 3.09
Se1 0.5000 0.5000 0.2576 [2 per cell]  4 Pa 3.09, 4 Th 3.15

Results
crystal system: tetragonal
total moment: 1.150 μB per formula unit

---

Name the least stable of them. version B.